# 1
Density functional theory data (PBE-GGA) for a geometry-optimized Na4Pu3GaN8 structure.

Structure (POSCAR):
```
Na4Pu3GaN8
1.0
-5.395 3.654 -1.156
-3.821 -4.615 3.250
5.269 2.813 3.240
Na N Pu Ga
4 8 3 1
Cartesian
-2.697 1.827 -0.578
2.635 1.406 1.620
0.000 0.000 0.000
-0.063 3.233 1.042
-2.429 -0.325 0.869
1.188 0.345 5.044
-2.554 2.775 1.748
0.200 1.077 2.473
-5.135 1.507 0.289
-1.518 2.177 4.464
-1.393 -0.923 3.585
-4.147 0.775 2.860
-1.974 0.926 2.667
-4.608 -0.481 1.047
0.724 -0.901 3.245
-1.911 -2.307 1.625
```

formation energy from raw total energies: -0.524 eV per atom
crystal system: monoclinic

---

# 2
Density functional theory data (PBE-GGA) for a geometry-optimized Rb2NaGaN structure.

Structure (POSCAR):
```
Rb2NaGaN
1.0
-3.130 -4.716 2.128
-1.128 -1.229 -4.385
4.965 -3.437 -0.314
Ga Na N Rb
1 1 1 2
Cartesian
0.353 -4.691 -1.286
-0.564 -0.615 -2.192
0.000 0.000 0.000
-1.565 -2.358 1.064
2.483 -1.719 -0.157
```

formation energy from raw total energies: 0.614 eV per atom
crystal system: tetragonal

---

Question: Look up the formation energy from raw total energies of the second one.
Answer: 0.614 eV per atom

---

Question: What is the formula in the first record?
Answer: Na4Pu3GaN8